(1)
A relaxed CrTe2PtI crystal, computed with PBE.

Cell: 5.331 5.331 5.529 Å, 90.00 90.00 90.00°
Positions (direct):
I 0.000 0.000 0.500
Te 0.000 0.500 0.000
Te 0.500 0.000 0.000
Pt 0.000 0.000 0.000
Cr 0.500 0.500 0.500

Summary:
As for the energy above the lowest structure with this stoichiometry: 0 meV/atom. The formation energy (no corrections) comes out at 0.60 eV per atom.

***

(2)
A relaxed Cs2ThB2S6 crystal, computed with PBE.

Cell: 6.882 6.924 8.756 Å, 113.07 90.00 119.80°
Positions (direct):
Cs 0.706 0.412 0.164
Cs 0.294 0.588 0.836
S 0.221 0.987 0.260
S 0.779 0.013 0.740
S 0.766 0.987 0.260
S 0.756 0.511 0.655
S 0.234 0.013 0.740
S 0.244 0.489 0.345
Th 0.500 0.000 0.500
B 0.920 0.839 0.703
B 0.080 0.161 0.297

Summary:
The formation energy (no corrections) comes out at -1.09 eV per atom.

***

(3)
A relaxed Er8Ga3CuSe4 crystal, computed with PBE.

Cell: 7.839 8.507 7.836 Å, 117.40 120.01 90.00°
Positions (direct):
Er 0.754 0.751 0.002
Er 0.752 0.249 0.503
Er 0.751 0.754 0.503
Er 0.248 0.751 0.497
Er 0.246 0.249 0.998
Er 0.249 0.246 0.497
Er 0.752 0.249 0.998
Er 0.248 0.751 0.002
Se 0.500 0.000 0.500
Se 0.500 0.000 0.000
Se 0.000 0.000 0.000
Se 0.000 0.000 0.500
Cu 0.000 0.500 0.000
Ga 0.000 0.500 0.500
Ga 0.500 0.500 0.000
Ga 0.500 0.500 0.500

Summary:
The formation energy (no corrections) comes out at -1.09 eV per atom.

***

(4)
A relaxed Eu2SO crystal, computed with PBE.

Cell: 3.852 3.852 6.757 Å, 73.44 73.44 60.00°
Positions (direct):
Eu 0.761 0.761 0.718
Eu 0.239 0.239 0.282
O 0.500 0.500 0.500
S 0.000 0.000 0.000

Summary:
The formation energy (no corrections) comes out at -2.38 eV per atom.

***

(5)
A relaxed Sr2NiH crystal, computed with PBE.

Cell: 5.084 5.084 5.084 Å, 60.00 60.00 60.00°
Positions (direct):
H 0.000 0.000 0.000
Sr 0.750 0.750 0.750
Sr 0.250 0.250 0.250
Ni 0.500 0.500 0.500

Summary:
As for the energy above the lowest structure with this stoichiometry: 161 meV/atom.

***

(6)
A relaxed HgH4Pd6 crystal, computed with PBE.

Cell: 5.819 5.819 5.819 Å, 84.26 123.37 123.37°
Positions (direct):
Pd 0.635 0.094 0.094
Pd 0.365 0.459 0.459
Pd 0.500 0.500 0.000
Pd 0.000 0.906 0.541
Pd 0.000 0.541 0.906
Pd 0.500 0.000 0.500
H 0.267 0.784 0.784
H 0.733 0.517 0.517
H 0.000 0.216 0.483
H 0.000 0.483 0.216
Hg 0.000 0.000 0.000

Summary:
As for the energy above the lowest structure with this stoichiometry: 44 meV/atom.

***

(7)
A relaxed CdAgHg2 crystal, computed with PBE.

Cell: 5.393 5.393 5.393 Å, 131.02 131.02 71.79°
Positions (direct):
Hg 0.250 0.750 0.500
Hg 0.000 0.000 0.000
Cd 0.750 0.250 0.500
Ag 0.500 0.500 0.000

Summary:
The energy of formation from the pure elements is 6.49 kJ per mole of atoms.

***

(8)
A relaxed CrGaIr crystal, computed with PBE.

Cell: 4.594 4.619 5.228 Å, 66.12 63.90 60.16°
Positions (direct):
Cr 0.780 0.020 0.653
Cr 0.616 0.520 0.152
Ga 0.945 0.850 0.156
Ga 0.118 0.349 0.656
Ir 0.287 0.183 0.150
Ir 0.448 0.683 0.650

Summary:
The energy of formation from the pure elements is -18.11 kJ per mole of atoms.

***

| no. | V (A^3/atom) | VASP energy (eV/atom) | D(E_F) (states/eV per cell) |
| --- | --- | --- | --- |
| 1 | 31.4 | -4.101 | 5.9 |
| 2 | 29.4 | -5.386 | 0.0 |
| 3 | 24.0 | -5.063 | 8.5 |
| 4 | 20.5 | -9.788 | 9.2 |
| 5 | 23.2 | -2.995 | 2.1 |
| 6 | 12.0 | -4.075 | 5.4 |
| 7 | 21.8 | -1.025 | 1.5 |
| 8 | 14.0 | -7.358 | 3.1 |